6
Lattice="1.418 5.132 -0.008 -1.418 5.132 -0.008 0.000 1.927 6.530" Properties=species:S:1:pos:R:3 comment="GGA-PBE MgPt2, optimized geometry" sg="C2/m, No. 12" final_energy_ev_per_atom=-5.145 pbc="T T T"
Mg 0.000 11.480 5.182
Mg 0.000 0.712 1.331
Pt 0.000 4.715 3.389
Pt 0.000 8.732 5.659
Pt 0.000 3.460 0.855
Pt 0.000 7.477 3.125


4
Lattice="-0.818 -3.395 2.166 2.065 -2.252 -2.750 3.586 0.561 2.234" Properties=species:S:1:pos:R:3 comment="GGA-PBE Mg3Pt, optimized geometry" sg="P4/mmm, No. 123" final_energy_ev_per_atom=-3.195 pbc="T T T"
Mg 0.299 0.047 0.186
Mg 3.125 -0.798 -0.071
Mg 0.923 -2.777 -0.105
Pt 1.681 -1.371 2.385